Computed, not measured: a crystal of ZrIn2Cl relaxed with PBEsol at the meta-GGA SCAN level of DFT.

Lattice parameters (Å, degrees): 9.3118 9.3118 9.3118 20.74 20.74 20.74
Element x y z (fractional)
Zr  0.0000  0.0000  0.0000
In  0.2485  0.2485  0.2485
In  0.7515  0.7515  0.7515
Cl  0.5000  0.5000  0.5000

DFT total energy (eV/cell): -107.0
Spin magnetization (μB/cell): 0.0

---

Computed, not measured: a crystal of Ir2Cl relaxed with PBEsol at the meta-GGA SCAN level of DFT.

Lattice parameters (Å, degrees): 6.1458 6.1458 6.1458 153.56 153.56 37.75
Element x y z (fractional)
Ir  0.1775  0.1775  0.0000
Ir  0.8225  0.8225  0.0000
Cl  0.5000  0.5000  0.0000

DFT total energy (eV/cell): -147.4
Spin magnetization (μB/cell): 0.0

---

Computed, not measured: a crystal of K2IrCl relaxed with PBEsol at the meta-GGA SCAN level of DFT.

Lattice parameters (Å, degrees): 5.8624 6.2257 6.2257 25.60 90.00 90.00
Element x y z (fractional)
K  0.0000  0.0000  0.0000
K  0.5000  0.2366  0.2366
Ir  0.0000  0.7439  0.7439
Cl  0.5000  0.5002  0.5002

DFT total energy (eV/cell): -96.0
Spin magnetization (μB/cell): 0.3

---

Computed, not measured: a crystal of KIrCl2 relaxed with PBEsol at the meta-GGA SCAN level of DFT.

Lattice parameters (Å, degrees): 6.6560 6.6560 6.6560 146.94 146.94 47.45
Element x y z (fractional)
K  0.0000  0.0000  0.0000
Ir  0.2500  0.7500  0.5000
Cl  0.5000  0.5000  0.0000
Cl  0.7500  0.2500  0.5000

DFT total energy (eV/cell): -95.1
Spin magnetization (μB/cell): 1.7

---

Computed, not measured: a crystal of K3IrCl6 relaxed with PBEsol at the meta-GGA SCAN level of DFT.

Lattice parameters (Å, degrees): 12.4191 7.4445 11.7589 90.00 107.87 90.00
Element x y z (fractional)
K  0.0952  0.0527  0.3554
K  0.0952  0.4473  0.8554
K  0.3173  0.0683  0.1155
K  0.3173  0.4317  0.6155
K  0.3184  0.5742  0.2677
K  0.3184  0.9258  0.7677
K  0.6816  0.0742  0.2323
K  0.6816  0.4258  0.7323
K  0.6827  0.5683  0.3845
K  0.6827  0.9317  0.8845
K  0.9048  0.5527  0.1446
K  0.9048  0.9473  0.6446
Ir  0.0000  0.0000  0.0000
Ir  0.0000  0.5000  0.5000
Ir  0.5000  0.0000  0.5000
Ir  0.5000  0.5000  0.0000
Cl  0.0889  0.2410  0.6014
Cl  0.0889  0.2590  0.1014
Cl  0.1200  0.0055  0.8805
Cl  0.1200  0.4945  0.3805
Cl  0.1236  0.6848  0.6424
Cl  0.1236  0.8152  0.1424
Cl  0.3516  0.6916  0.0059
Cl  0.3516  0.8084  0.5059
Cl  0.3603  0.2054  0.3979
Cl  0.3603  0.2946  0.8979
Cl  0.4989  0.1286  0.6815
Cl  0.4989  0.3714  0.1815
Cl  0.5011  0.6286  0.8185
Cl  0.5011  0.8714  0.3185
Cl  0.6397  0.7054  0.1021
Cl  0.6397  0.7946  0.6021
Cl  0.6484  0.1916  0.4941
Cl  0.6484  0.3084  0.9941
Cl  0.8764  0.1848  0.8576
Cl  0.8764  0.3152  0.3576
Cl  0.8800  0.5055  0.6195
Cl  0.8800  0.9945  0.1195
Cl  0.9111  0.7410  0.8986
Cl  0.9111  0.7590  0.3986

DFT total energy (eV/cell): -639.4
Spin magnetization (μB/cell): 0.4

---

Computed, not measured: a crystal of KLaIrCl2 relaxed with PBEsol at the meta-GGA SCAN level of DFT.

Lattice parameters (Å, degrees): 5.0674 5.0674 5.1489 90.00 90.00 90.00
Element x y z (fractional)
K  0.0000  0.0000  0.0000
La  0.5000  0.5000  0.5000
Ir  0.0000  0.0000  0.5000
Cl  0.0000  0.5000  0.0000
Cl  0.5000  0.0000  0.0000

DFT total energy (eV/cell): -139.2
Spin magnetization (μB/cell): 0.2

---

Computed, not measured: a crystal of KIr2RhCl relaxed with PBEsol at the meta-GGA SCAN level of DFT.

Lattice parameters (Å, degrees): 4.8243 4.8243 4.7724 90.00 90.00 90.00
Element x y z (fractional)
K  0.0000  0.0000  0.0000
Ir  0.0000  0.5000  0.0000
Ir  0.5000  0.0000  0.0000
Rh  0.0000  0.0000  0.5000
Cl  0.5000  0.5000  0.5000

DFT total energy (eV/cell): -176.8
Spin magnetization (μB/cell): 4.7

---

Computed, not measured: a crystal of KIrSCl2 relaxed with PBEsol at the meta-GGA SCAN level of DFT.

Lattice parameters (Å, degrees): 5.1053 5.1053 4.3632 90.00 90.00 90.00
Element x y z (fractional)
K  0.0000  0.0000  0.0000
Ir  0.5000  0.5000  0.5000
S  0.5000  0.5000  0.0000
Cl  0.0000  0.5000  0.5000
Cl  0.5000  0.0000  0.5000

DFT total energy (eV/cell): -108.6
Spin magnetization (μB/cell): 0.0

---

Computed, not measured: a crystal of K3SnIrCl8 relaxed with PBEsol at the meta-GGA SCAN level of DFT.

Lattice parameters (Å, degrees): 9.3596 9.5632 7.8220 90.00 90.00 90.00
Element x y z (fractional)
K  0.0000  0.1310  0.0000
K  0.2423  0.6245  0.9347
K  0.2577  0.3755  0.4347
K  0.5000  0.8690  0.5000
K  0.7423  0.3755  0.4347
K  0.7577  0.6245  0.9347
Sn  0.0000  0.9058  0.5172
Sn  0.5000  0.0942  0.0172
Ir  0.0000  0.6889  0.3388
Ir  0.5000  0.3111  0.8388
Cl  0.0000  0.1461  0.4204
Cl  0.0000  0.4722  0.1801
Cl  0.0000  0.5625  0.5988
Cl  0.0000  0.8109  0.0793
Cl  0.1922  0.9351  0.7163
Cl  0.2485  0.3134  0.8346
Cl  0.2515  0.6866  0.3346
Cl  0.3078  0.0649  0.2163
Cl  0.5000  0.1891  0.5793
Cl  0.5000  0.4375  0.0988
Cl  0.5000  0.5278  0.6801
Cl  0.5000  0.8539  0.9204
Cl  0.6922  0.0649  0.2163
Cl  0.7485  0.6866  0.3346
Cl  0.7515  0.3134  0.8346
Cl  0.8078  0.9351  0.7163

DFT total energy (eV/cell): -430.7
Spin magnetization (μB/cell): 0.1

---

Computed, not measured: a crystal of LaIr2Cl relaxed with PBEsol at the meta-GGA SCAN level of DFT.

Lattice parameters (Å, degrees): 9.3426 9.3426 9.3426 18.55 18.55 18.55
Element x y z (fractional)
La  0.0000  0.0000  0.0000
Ir  0.2350  0.2350  0.2350
Ir  0.4988  0.4988  0.4988
Cl  0.7503  0.7503  0.7503

DFT total energy (eV/cell): -192.4
Spin magnetization (μB/cell): 0.0

---

Computed, not measured: a crystal of LaIrCl3 relaxed with PBEsol at the meta-GGA SCAN level of DFT.

Lattice parameters (Å, degrees): 5.4767 5.4767 5.4767 90.00 90.00 90.00
Element x y z (fractional)
La  0.0000  0.0000  0.0000
Ir  0.5000  0.5000  0.5000
Cl  0.0000  0.0000  0.5000
Cl  0.0000  0.5000  0.0000
Cl  0.5000  0.0000  0.0000

DFT total energy (eV/cell): -141.4
Spin magnetization (μB/cell): 3.0

---

Computed, not measured: a crystal of LaIr2Cl relaxed with PBEsol at the meta-GGA SCAN level of DFT.

Lattice parameters (Å, degrees): 6.0394 6.0394 6.0394 143.56 143.56 52.49
Element x y z (fractional)
La  0.0000  0.0000  0.0000
Ir  0.2500  0.7500  0.5000
Ir  0.7500  0.2500  0.5000
Cl  0.5000  0.5000  0.0000

DFT total energy (eV/cell): -194.7
Spin magnetization (μB/cell): 0.0

---

Computed, not measured: a crystal of LaIr2Cl relaxed with PBEsol at the meta-GGA SCAN level of DFT.

Lattice parameters (Å, degrees): 3.5087 3.4759 7.6547 90.00 101.73 90.00
Element x y z (fractional)
La  0.0000  0.0000  0.0000
Ir  0.3774  0.5000  0.7236
Ir  0.8419  0.0000  0.6429
Cl  0.5959  0.5000  0.2162

DFT total energy (eV/cell): -195.8
Spin magnetization (μB/cell): 0.0

---

Computed, not measured: a crystal of LaIr2Cl relaxed with PBEsol at the meta-GGA SCAN level of DFT.

Lattice parameters (Å, degrees): 6.1159 6.1159 6.1159 151.30 136.75 52.73
Element x y z (fractional)
La  0.0000  0.0000  0.0000
Ir  0.2445  0.7445  0.5000
Ir  0.7555  0.2555  0.5000
Cl  0.5000  0.5000  0.0000

DFT total energy (eV/cell): -194.7
Spin magnetization (μB/cell): 0.0

---

Computed, not measured: a crystal of LaIr4Cl relaxed with PBEsol at the meta-GGA SCAN level of DFT.

Lattice parameters (Å, degrees): 5.3256 5.3256 5.3256 60.00 60.00 60.00
Element x y z (fractional)
La  0.0000  0.0000  0.0000
Ir  0.3750  0.3750  0.3750
Ir  0.3750  0.3750  0.8750
Ir  0.3750  0.8750  0.3750
Ir  0.8750  0.3750  0.3750
Cl  0.7500  0.7500  0.7500

DFT total energy (eV/cell): -335.2
Spin magnetization (μB/cell): 0.0

---

Computed, not measured: a crystal of La2TlIrCl relaxed with PBEsol at the meta-GGA SCAN level of DFT.

Lattice parameters (Å, degrees): 5.9103 5.9103 4.9141 90.00 90.00 90.00
Element x y z (fractional)
La  0.0000  0.5000  0.0000
La  0.5000  0.0000  0.0000
Tl  0.0000  0.0000  0.0000
Ir  0.0000  0.0000  0.5000
Cl  0.5000  0.5000  0.5000

DFT total energy (eV/cell): -237.2
Spin magnetization (μB/cell): 0.0

---

Computed, not measured: a crystal of LiIr2Cl relaxed with PBEsol at the meta-GGA SCAN level of DFT.

Lattice parameters (Å, degrees): 3.4365 3.4365 6.6856 90.00 90.00 90.00
Element x y z (fractional)
Li  0.0000  0.0000  0.0000
Ir  0.0000  0.5000  0.5000
Ir  0.5000  0.0000  0.5000
Cl  0.5000  0.5000  0.0000

DFT total energy (eV/cell): -152.0
Spin magnetization (μB/cell): 0.0

---

Computed, not measured: a crystal of LiIr2Cl relaxed with PBEsol at the meta-GGA SCAN level of DFT.

Lattice parameters (Å, degrees): 2.8376 3.7362 6.4198 90.00 90.00 90.00
Element x y z (fractional)
Li  0.0000  0.0000  0.0000
Ir  0.0000  0.0000  0.5440
Ir  0.5000  0.5000  0.6828
Cl  0.5000  0.5000  0.0787

DFT total energy (eV/cell): -153.0
Spin magnetization (μB/cell): 0.0

---

Computed, not measured: a crystal of LiIr2Cl relaxed with PBEsol at the meta-GGA SCAN level of DFT.

Lattice parameters (Å, degrees): 2.8202 2.8202 8.4087 90.00 90.00 120.71
Element x y z (fractional)
Li  0.0000  0.0000  0.0000
Ir  0.0000  0.0000  0.4746
Ir  0.5000  0.5000  0.7322
Cl  0.5000  0.5000  0.2131

DFT total energy (eV/cell): -151.9
Spin magnetization (μB/cell): 0.0

---

Computed, not measured: a crystal of LiIr4Cl relaxed with PBEsol at the meta-GGA SCAN level of DFT.

Lattice parameters (Å, degrees): 5.2044 5.2044 5.2044 60.00 60.00 60.00
Element x y z (fractional)
Li  0.0000  0.0000  0.0000
Ir  0.3747  0.3747  0.3747
Ir  0.3747  0.3747  0.8759
Ir  0.3747  0.8759  0.3747
Ir  0.8759  0.3747  0.3747
Cl  0.7500  0.7500  0.7500

DFT total energy (eV/cell): -290.3
Spin magnetization (μB/cell): 4.9